No. 1
First-principles (meta-GGA SCAN) data for La2SbIr at its PBEsol-relaxed geometry, as listed in Alexandria.

Unit cell a=4.3704 b=4.3704 c=6.0265 alpha=111.26 beta=111.26 gamma=90.00
Last column: nearest neighbours and their distance in Å.
Fractional positions:
La: 0.7500 0.2500 0.5000  4 Ir 3.09, 4 La 3.39, 4 Sb 3.39
La: 0.0000 0.0000 0.0000  4 Sb 3.09, 4 La 3.39, 4 Ir 3.39
Ir: 0.2500 0.7500 0.5000  8 La 3.09-3.39, 4 Sb 3.39
Sb: 0.5000 0.5000 0.0000  8 La 3.09-3.39, 4 Ir 3.39

Values from the calculation:
E_tot: -197.51 eV per cell
DOS at the Fermi energy: 0.8 states/eV per cell
Raw formation energy: -16.94 kcal/mol of atoms
Calculated volume: 99 Å³ per cell

No. 2
First-principles (meta-GGA SCAN) data for TaZnW at its PBEsol-relaxed geometry, as listed in Alexandria.

Unit cell a=4.1852 b=4.1852 c=4.1852 alpha=60.00 beta=60.00 gamma=60.00
Last column: nearest neighbours and their distance in Å.
Fractional positions:
Zn: 0.2500 0.2500 0.2500  4 Ta 2.56, 4 W 2.56
W: 0.5000 0.5000 0.5000  4 Zn 2.56
Ta: 0.0000 0.0000 0.0000  4 Zn 2.56

Values from the calculation:
ΔE_f: 0.847 eV per atom
Offset from the most stable computed form: 556 meV per atom
E_tot: -147.25 eV per cell
DOS at the Fermi energy: 2.6 states/eV per cell
Calculated volume: 52 Å³ per cell

No. 3
First-principles (meta-GGA SCAN) data for HfCrGa3 at its PBEsol-relaxed geometry, as listed in Alexandria.

Unit cell a=5.0322 b=5.0322 c=5.0322 alpha=90.00 beta=90.00 gamma=90.00
Last column: nearest neighbours and their distance in Å.
Fractional positions:
Hf: 0.0000 0.0000 0.0000  6 Ga 2.52
Ga: 0.0000 0.5000 0.0000  2 Hf 2.52
Ga: 0.5000 0.0000 0.0000  2 Hf 2.52
Ga: 0.0000 0.0000 0.5000  2 Hf 2.52
Cr: 0.5000 0.5000 0.5000  12 Ga 3.56

Values from the calculation:
ΔE_f: 0.778 eV per atom
E_tot: -126.20 eV per cell
DOS at the Fermi energy: 3.0 states/eV per cell
Calculated volume: 127 Å³ per cell

No. 4
First-principles (meta-GGA SCAN) data for LiCd2In at its PBEsol-relaxed geometry, as listed in Alexandria.

Unit cell a=3.0620 b=3.0620 c=8.7136 alpha=90.00 beta=90.00 gamma=90.00
Last column: nearest neighbours and their distance in Å.
Fractional positions:
In: 0.0000 0.0000 0.5132  4 Li 3.04, 4 In 3.06, 4 Cd 3.20
Li: 0.5000 0.5000 0.7573  4 Cd 2.94, 4 In 3.04, 4 Li 3.06
Cd: 0.0000 0.0000 0.9863  4 Li 2.94, 8 Cd 3.06-3.11
Cd: 0.5000 0.5000 0.2432  8 Cd 3.06-3.11, 4 In 3.20

Values from the calculation:
ΔE_f: -0.160 eV per atom
E_tot: -97.24 eV per cell
DOS at the Fermi energy: 1.1 states/eV per cell
Calculated volume: 82 Å³ per cell

No. 5
First-principles (meta-GGA SCAN) data for ZnHg2Br at its PBEsol-relaxed geometry, as listed in Alexandria.

Unit cell a=5.1080 b=5.1080 c=5.1080 alpha=60.00 beta=60.00 gamma=60.00
Last column: nearest neighbours and their distance in Å.
Fractional positions:
Br: 0.5000 0.5000 0.5000  4 Hg 3.13, 4 Zn 3.13
Zn: 0.2500 0.2500 0.2500  4 Hg 3.13, 4 Br 3.13
Hg: 0.0000 0.0000 0.0000  4 Hg 3.13, 4 Zn 3.13
Hg: 0.7500 0.7500 0.7500  4 Br 3.13, 4 Hg 3.13

Values from the calculation:
Offset from the most stable computed form: 307 meV per atom
E_tot: -168.75 eV per cell
DOS at the Fermi energy: 3.3 states/eV per cell
Raw formation energy: 3.21 kcal/mol of atoms
Calculated volume: 94 Å³ per cell

No. 6
First-principles (meta-GGA SCAN) data for TcMoPt2 at its PBEsol-relaxed geometry, as listed in Alexandria.

Unit cell a=4.4029 b=4.4029 c=4.4029 alpha=60.00 beta=60.00 gamma=60.00
Last column: nearest neighbours and their distance in Å.
Fractional positions:
Mo: 0.0000 0.0000 0.0000  8 Pt 2.70
Pt: 0.2500 0.2500 0.2500  4 Mo 2.70, 4 Tc 2.70
Pt: 0.7500 0.7500 0.7500  4 Tc 2.70, 4 Mo 2.70
Tc: 0.5000 0.5000 0.5000  8 Pt 2.70

Values from the calculation:
ΔE_f: 0.243 eV per atom
Offset from the most stable computed form: 587 meV per atom
E_tot: -209.36 eV per cell
DOS at the Fermi energy: 4.6 states/eV per cell
Calculated volume: 60 Å³ per cell

Listing M_tot for the structures above in their given order: 0.000 0.000 0.847 0.000 0.000 0.326 μB/atom.